# KBeAu3

A relaxed structure of KBeAu3 (PBE, the Alexandria database).

The structure in CIF format:
```
data_KBeAu3
_chemical_formula_sum 'K4 Be4 Au12'
_cell_length_a 12.010
_cell_length_b 6.413
_cell_length_c 5.258
_cell_angle_alpha 90.00
_cell_angle_beta 90.91
_cell_angle_gamma 90.00
_space_group_name_H-M_alt 'C 1 2/m 1'
_space_group_IT_number 12
loop_
_space_group_symop_operation_xyz
'x,y,z'
'-x,-y,-z'
'-x,y,-z'
'x,-y,z'
'x+1/2,y+1/2,z'
'-x+1/2,-y+1/2,-z'
'-x+1/2,y+1/2,-z'
'x+1/2,-y+1/2,z'
loop_
_atom_site_label
_atom_site_type_symbol
_atom_site_fract_x
_atom_site_fract_y
_atom_site_fract_z
K1 K 0.138 0.000 0.499
Be1 Be 0.112 0.500 0.175
Au1 Au 0.000 0.221 0.000
Au2 Au 0.103 0.500 0.629
Au3 Au 0.250 0.250 0.000
```

Fermi-level density of states in states/eV/cell: 6.991
ΔE_f in eV/atom: -0.13
Energy above the lowest structure with this stoichiometry in eV per atom: 0.000